Entry from Alexandria: an optimized crystal structure of Li3Mo2P3O12 (GGA+U).

Calculated values
The density of states at the Fermi level comes out at 0.00 states/eV per atom. For the total energy, the calculation gives -6.957 eV per atom.

Cell lengths 5.0095, 5.0095, 19.3607 Å; angles 90.16, 90.16, 66.28 degrees
Last column: nearest neighbours and their distance in Å.
Sites, in units of the cell vectors:
Li: 0.0008 0.0008 0.1635  6 O 2.10-2.25
Li: 0.3319 0.3319 0.9106  4 O 1.93-2.09
Li: 0.3351 0.3351 0.2373  4 O 1.98-2.11
Li: 0.6649 0.6649 0.7627  4 O 1.98-2.11
Li: 0.6681 0.6681 0.0894  4 O 1.93-2.09
Li: 0.9992 0.9992 0.8365  6 O 2.10-2.25
Mo: 0.0000 0.0000 0.0000  6 O 2.15-2.16
Mo: 0.0000 0.0000 0.5000  6 O 2.12-2.22
Mo: 0.0046 0.0046 0.3282  6 O 2.10-2.24
Mo: 0.9954 0.9954 0.6718  6 O 2.10-2.24
P: 0.3457 0.3457 0.7527  4 O 1.51-1.59
P: 0.3521 0.3521 0.0794  4 O 1.51-1.58
P: 0.3527 0.3527 0.4114  4 O 1.52-1.59
P: 0.6473 0.6473 0.5886  4 O 1.52-1.59
P: 0.6479 0.6479 0.9206  4 O 1.51-1.58
P: 0.6543 0.6543 0.2473  4 O 1.51-1.59
O: 0.2277 0.6989 0.4145  1 P 1.59
O: 0.2356 0.6903 0.7512  1 P 1.59
O: 0.2415 0.6948 0.0795  1 P 1.58
O: 0.2433 0.2433 0.6870  1 P 1.53
O: 0.2450 0.2450 0.4742  1 P 1.52
O: 0.2462 0.2462 0.1425  1 P 1.51
O: 0.2467 0.2467 0.8180  1 P 1.51
O: 0.2547 0.2547 0.0109  1 P 1.55
O: 0.2636 0.2636 0.3417  1 P 1.54
O: 0.3011 0.7723 0.5855  1 P 1.59
O: 0.3052 0.7585 0.9205  1 P 1.58
O: 0.3097 0.7644 0.2488  1 P 1.59
O: 0.6903 0.2356 0.7512  1 P 1.59
O: 0.6948 0.2415 0.0795  1 P 1.58
O: 0.6989 0.2277 0.4145  1 P 1.59
O: 0.7364 0.7364 0.6583  1 P 1.54
O: 0.7453 0.7453 0.9891  1 P 1.55
O: 0.7533 0.7533 0.1820  1 P 1.51
O: 0.7538 0.7538 0.8575  1 P 1.51
O: 0.7550 0.7550 0.5258  1 P 1.52
O: 0.7567 0.7567 0.3130  1 P 1.53
O: 0.7585 0.3052 0.9205  1 P 1.58
O: 0.7644 0.3097 0.2488  1 P 1.59
O: 0.7723 0.3011 0.5855  1 P 1.59